No. 1
This record from the Alexandria database describes a relaxed Mg2As2RuRh crystal. The functional is PBE.

## Properties
Volume   104.5 Å³/f.u.
Total magnetization   0.00 μB per formula unit
Calculated density   6.4 g/cm3
Electronic total energy   -5.3473 eV/atom

Lattice parameters (Å, degrees): 5.836 5.841 7.390 113.28 113.26 90.00
Atoms (fractional coordinates):
As  0.142  0.878  0.756
As  0.615  0.378  0.756
As  0.858  0.122  0.244
As  0.385  0.622  0.244
Rh  0.000  0.250  0.000
Rh  0.000  0.750  0.000
Ru  0.500  0.750  0.000
Ru  0.500  0.250  0.000
Mg  0.917  0.656  0.312
Mg  0.605  0.844  0.688
Mg  0.083  0.344  0.688
Mg  0.395  0.156  0.312

=====

No. 2
This record from the Alexandria database describes a relaxed MgAs2RhSe crystal. The functional is PBE.

## Properties
Volume   119.0 Å³/f.u.
Total magnetization   0.00 μB per formula unit
Calculated density   5.0 g/cm3
Energy relative to the elements, uncorrected   0.169 eV per atom
Distance to the lowest polymorph of the same formula   0.00 eV per formula unit

Lattice parameters (Å, degrees): 4.672 4.672 5.455 90.00 90.00 90.00
Atoms (fractional coordinates):
Rh  0.000  0.000  0.000
Se  0.000  0.000  0.500
As  0.000  0.500  0.000
As  0.500  0.000  0.000
Mg  0.500  0.500  0.500

=====

No. 3
This record from the Alexandria database describes a relaxed Sm2MgAs4Rh3 crystal. The functional is PBE.

## Properties
Volume   190.5 Å³/f.u.
Total magnetization   0.00 μB per formula unit
Calculated density   8.1 g/cm3
Electronic total energy   -6.0466 eV/atom

Lattice parameters (Å, degrees): 4.249 4.249 10.550 90.00 90.00 90.00
Atoms (fractional coordinates):
Mg  0.500  0.500  0.500
Rh  0.000  0.500  0.120
Rh  0.000  0.000  0.500
Rh  0.500  0.000  0.880
As  0.000  0.500  0.352
As  0.500  0.000  0.648
As  0.500  0.500  0.000
As  0.000  0.000  0.000
Sm  0.000  0.500  0.763
Sm  0.500  0.000  0.237

=====

No. 4
This record from the Alexandria database describes a relaxed Sm2MgAs3Rh4 crystal. The functional is PBE.

## Properties
Volume   183.7 Å³/f.u.
Total magnetization   0.00 μB per formula unit
Calculated density   8.7 g/cm3
Electronic total energy   -6.3361 eV/atom

Lattice parameters (Å, degrees): 4.079 4.079 11.040 90.00 90.00 90.00
Atoms (fractional coordinates):
Rh  0.000  0.500  0.349
Rh  0.500  0.000  0.651
Rh  0.000  0.000  0.000
Rh  0.500  0.500  0.000
Sm  0.500  0.000  0.242
Sm  0.000  0.500  0.758
As  0.500  0.000  0.868
As  0.000  0.500  0.132
As  0.000  0.000  0.500
Mg  0.500  0.500  0.500

=====

No. 5
This record from the Alexandria database describes a relaxed Sr2MgAs3Rh4 crystal. The functional is PBE.

## Properties
Volume   191.8 Å³/f.u.
Total magnetization   0.00 μB per formula unit
Calculated density   7.2 g/cm3
Electronic total energy   -5.5811 eV/atom

Lattice parameters (Å, degrees): 4.235 4.235 10.693 90.00 90.00 90.00
Atoms (fractional coordinates):
Rh  0.500  0.500  0.000
Rh  0.000  0.000  0.000
Rh  0.000  0.500  0.361
Rh  0.500  0.000  0.639
As  0.500  0.000  0.870
As  0.000  0.500  0.130
As  0.000  0.000  0.500
Sr  0.500  0.000  0.249
Sr  0.000  0.500  0.751
Mg  0.500  0.500  0.500

=====

No. 6
This record from the Alexandria database describes a relaxed SrMgAs2Rh5 crystal. The functional is PBE.

## Properties
Volume   178.7 Å³/f.u.
Total magnetization   0.00 μB per formula unit
Calculated density   7.2 g/cm3
Electronic total energy   -5.8016 eV/atom

Lattice parameters (Å, degrees): 4.353 4.353 9.431 90.00 90.00 90.00
Atoms (fractional coordinates):
Rh  0.500  0.000  0.151
Rh  0.000  0.500  0.151
Rh  0.500  0.000  0.849
Rh  0.500  0.500  0.500
Rh  0.000  0.500  0.849
Sr  0.000  0.000  0.500
As  0.500  0.500  0.252
As  0.500  0.500  0.748
Mg  0.000  0.000  0.000

=====

No. 7
This record from the Alexandria database describes a relaxed Tb2MgAs3Rh4 crystal. The functional is PBE.

## Properties
Volume   180.6 Å³/f.u.
Total magnetization   0.00 μB per formula unit
Calculated density   9.0 g/cm3
Electronic total energy   -6.3149 eV/atom

Lattice parameters (Å, degrees): 4.031 4.031 11.113 90.00 90.00 90.00
Atoms (fractional coordinates):
Tb  0.500  0.000  0.241
Tb  0.000  0.500  0.759
Rh  0.000  0.000  0.000
Rh  0.000  0.500  0.347
Rh  0.500  0.500  0.000
Rh  0.500  0.000  0.653
Mg  0.500  0.500  0.500
As  0.000  0.500  0.133
As  0.500  0.000  0.867
As  0.000  0.000  0.500

=====

No. 8
This record from the Alexandria database describes a relaxed Th2MgAs2Rh7 crystal. The functional is PBE.

## Properties
Volume   214.3 Å³/f.u.
Total magnetization   0.00 μB per formula unit
Calculated density   10.5 g/cm3
Electronic total energy   -7.1264 eV/atom

Lattice parameters (Å, degrees): 4.042 4.042 13.317 82.99 82.99 89.49
Atoms (fractional coordinates):
As  0.401  0.401  0.248
As  0.599  0.599  0.752
Th  0.133  0.133  0.656
Th  0.867  0.867  0.344
Rh  0.058  0.558  0.855
Rh  0.442  0.942  0.145
Rh  0.339  0.339  0.433
Rh  0.942  0.442  0.145
Rh  0.558  0.058  0.855
Rh  0.500  0.500  0.000
Rh  0.661  0.661  0.567
Mg  0.000  0.000  0.000

=====

No. 9
This record from the Alexandria database describes a relaxed ThMgAs2Rh5 crystal. The functional is PBE.

## Properties
Volume   152.4 Å³/f.u.
Total magnetization   0.00 μB per formula unit
Calculated density   10.0 g/cm3
Electronic total energy   -6.7718 eV/atom

Lattice parameters (Å, degrees): 4.244 4.244 8.459 90.00 90.00 90.00
Atoms (fractional coordinates):
Rh  0.500  0.500  0.500
Rh  0.000  0.500  0.716
Rh  0.500  0.000  0.284
Rh  0.500  0.000  0.716
Rh  0.000  0.500  0.284
Th  0.000  0.000  0.000
Mg  0.000  0.000  0.500
As  0.500  0.500  0.847
As  0.500  0.500  0.153

=====

No. 10
This record from the Alexandria database describes a relaxed MgUAs2Rh5 crystal. The functional is PBE.

## Properties
Volume   147.3 Å³/f.u.
Total magnetization   2.08 μB per formula unit
Calculated density   10.4 g/cm3
Electronic total energy   -7.0085 eV/atom

Lattice parameters (Å, degrees): 4.091 4.091 8.806 90.00 90.00 90.00
Site moments in Bohr magnetons follow the coordinates.
Atoms (fractional coordinates):
Rh  0.000  0.500  0.286  -0.03
Rh  0.500  0.000  0.714  -0.03
Rh  0.000  0.500  0.714  -0.03
Rh  0.500  0.000  0.286  -0.03
Rh  0.500  0.500  0.500  -0.12
Mg  0.000  0.000  0.500  0.00
U  0.000  0.000  0.000  2.14
As  0.500  0.500  0.858  -0.01
As  0.500  0.500  0.142  -0.01

=====

No. 11
This record from the Alexandria database describes a relaxed MgAs2RhW crystal. The functional is PBE.

## Properties
Volume   114.4 Å³/f.u.
Total magnetization   0.00 μB per formula unit
Calculated density   6.7 g/cm3
Electronic total energy   -5.6589 eV/atom

Lattice parameters (Å, degrees): 4.816 4.816 4.933 90.00 90.00 90.00
Atoms (fractional coordinates):
Mg  0.500  0.500  0.500
W  0.000  0.000  0.000
As  0.000  0.500  0.000
As  0.500  0.000  0.000
Rh  0.000  0.000  0.500

=====

No. 12
This record from the Alexandria database describes a relaxed YMgAs2Rh5 crystal. The functional is PBE.

## Properties
Volume   154.5 Å³/f.u.
Total magnetization   0.00 μB per formula unit
Calculated density   8.4 g/cm3
Electronic total energy   -6.5753 eV/atom

Lattice parameters (Å, degrees): 4.209 4.209 8.719 90.00 90.00 90.00
Atoms (fractional coordinates):
Rh  0.000  0.500  0.735
Rh  0.000  0.500  0.265
Rh  0.500  0.000  0.735
Rh  0.500  0.500  0.500
Rh  0.500  0.000  0.265
Y  0.000  0.000  0.500
As  0.500  0.500  0.858
As  0.500  0.500  0.142
Mg  0.000  0.000  0.000